(1)
DFT (GGA-PBE) results for Sm8Ir3Pb2 after structural relaxation.

Computed properties:
formation energy from the elements: -0.505 eV/atom
magnetic moment: 0.00 μB/f.u.
density of states at the Fermi level: 9.43 states/eV/cell

Cell: 4.987 10.027 9.177 Å, 123.08 90.00 90.00°
Atoms (fractional coordinates):
Sm1 0.000 0.608 0.215
Sm2 0.000 0.392 0.785
Sm3 0.000 0.112 0.224
Sm4 0.000 0.888 0.776
Sm5 0.500 0.646 0.780
Sm6 0.500 0.133 0.779
Sm7 0.500 0.867 0.221
Sm8 0.500 0.354 0.220
Ir1 0.500 0.000 0.000
Ir2 0.000 0.251 0.000
Ir3 0.000 0.749 0.000
Pb1 0.500 0.257 0.513
Pb2 0.500 0.743 0.487


(2)
DFT (GGA-PBE) results for Sm6Te3Ir2Pb after structural relaxation.

Computed properties:
formation energy (no corrections): -11.97 eV per formula unit
magnetic moment: 0.00 μB/f.u.
density of states at the Fermi level: 5.67 states/eV/cell

Cell: 4.259 9.017 9.945 Å, 106.71 102.36 90.00°
Atoms (fractional coordinates):
Sm1 0.329 0.883 0.657
Sm2 0.680 0.560 0.359
Sm3 0.671 0.117 0.343
Sm4 0.014 0.260 0.028
Sm5 0.986 0.740 0.972
Sm6 0.320 0.440 0.641
Te1 0.500 0.500 0.000
Te2 0.839 0.167 0.679
Te3 0.161 0.833 0.321
Ir1 0.832 0.668 0.664
Ir2 0.168 0.332 0.336
Pb1 0.500 0.000 0.000